1.
# LaNdSiHg (PBE, relaxed)
# Formation energy without anion corrections ... -0.48 eV/atom
# Calculated density ... 7.93 g/cm3
data_LaNdSiHg
_chemical_formula_sum 'La4 Nd4 Si4 Hg4'
_symmetry_space_group_name_H-M 'F -4 3 m'
_symmetry_Int_Tables_number 216
_symmetry_space_group_name_Hall 'F -4 2 3'
_cell_length_a 7.542
_cell_length_b 7.542
_cell_length_c 7.542
_cell_angle_alpha 90.00
_cell_angle_beta 90.00
_cell_angle_gamma 90.00
loop_
_atom_site_label
_atom_site_type_symbol
_atom_site_fract_x
_atom_site_fract_y
_atom_site_fract_z
La1 La 0.000 0.000 0.000
Nd1 Nd 0.000 0.000 0.500
Si1 Si 0.250 0.250 0.750
Hg1 Hg 0.250 0.250 0.250



2.
# LaNdSm2Hg4 (PBE, relaxed)
# ΔE_f ... -0.476 eV/atom
# Calculated density ... 10.19 g/cm3
data_LaNdSm2Hg4
_chemical_formula_sum 'La3 Nd3 Sm6 Hg12'
_symmetry_space_group_name_H-M 'R -3 m'
_symmetry_Int_Tables_number 166
_symmetry_space_group_name_Hall '-R 3 2"'
_cell_length_a 5.4249
_cell_length_b 5.4249
_cell_length_c 26.5945
_cell_angle_alpha 90.00
_cell_angle_beta 90.00
_cell_angle_gamma 120.00
loop_
_atom_site_label
_atom_site_type_symbol
_atom_site_fract_x
_atom_site_fract_y
_atom_site_fract_z
La1 La 0.0000 0.0000 0.0000
Nd1 Nd 0.0000 0.0000 0.5000
Sm1 Sm 0.0000 0.0000 0.2496
Hg1 Hg 0.0000 0.0000 0.1260
Hg2 Hg 0.0000 0.0000 0.3762



3.
# LaNd2SmHg4 (PBE, relaxed)
# ΔE_f ... -0.478 eV/atom
# Calculated density ... 10.07 g/cm3
data_LaNd2SmHg4
_chemical_formula_sum 'La3 Nd6 Sm3 Hg12'
_symmetry_space_group_name_H-M 'R -3 m'
_symmetry_Int_Tables_number 166
_symmetry_space_group_name_Hall '-R 3 2"'
_cell_length_a 5.4335
_cell_length_b 5.4335
_cell_length_c 26.6985
_cell_angle_alpha 90.00
_cell_angle_beta 90.00
_cell_angle_gamma 120.00
loop_
_atom_site_label
_atom_site_type_symbol
_atom_site_fract_x
_atom_site_fract_y
_atom_site_fract_z
La1 La 0.0000 0.0000 0.0000
Nd1 Nd 0.0000 0.0000 0.2495
Sm1 Sm 0.0000 0.0000 0.5000
Hg1 Hg 0.0000 0.0000 0.1267
Hg2 Hg 0.0000 0.0000 0.3771



4.
# La2Nd2SmHg5 (PBE, relaxed)
# ΔE_f ... -0.334 eV/atom
# Calculated density ... 9.81 g/cm3
data_La2Nd2SmHg5
_chemical_formula_sum 'La4 Nd4 Sm2 Hg10'
_symmetry_space_group_name_H-M 'P 4/m b m'
_symmetry_Int_Tables_number 127
_symmetry_space_group_name_Hall '-P 4 2ab'
_cell_length_a 11.168
_cell_length_b 11.168
_cell_length_c 4.667
_cell_angle_alpha 90.00
_cell_angle_beta 90.00
_cell_angle_gamma 90.00
loop_
_atom_site_label
_atom_site_type_symbol
_atom_site_fract_x
_atom_site_fract_y
_atom_site_fract_z
La1 La 0.176 0.324 0.000
Nd1 Nd 0.128 0.628 0.000
Sm1 Sm 0.000 0.000 0.000
Hg1 Hg 0.000 0.500 0.500
Hg2 Hg 0.086 0.817 0.500



5.
# LaNdSnHg (PBE, relaxed)
# ΔE_f ... -0.625 eV/atom
# Calculated density ... 8.48 g/cm3
data_LaNdSnHg
_chemical_formula_sum 'La4 Nd4 Sn4 Hg4'
_symmetry_space_group_name_H-M 'F -4 3 m'
_symmetry_Int_Tables_number 216
_symmetry_space_group_name_Hall 'F -4 2 3'
_cell_length_a 7.785
_cell_length_b 7.785
_cell_length_c 7.785
_cell_angle_alpha 90.00
_cell_angle_beta 90.00
_cell_angle_gamma 90.00
loop_
_atom_site_label
_atom_site_type_symbol
_atom_site_fract_x
_atom_site_fract_y
_atom_site_fract_z
La1 La 0.000 0.000 0.000
Nd1 Nd 0.000 0.000 0.500
Sn1 Sn 0.250 0.250 0.750
Hg1 Hg 0.250 0.250 0.250



6.
# La2NdSn2Hg2 (PBE, relaxed)
# ΔE_f ... -0.407 eV/atom
# Calculated density ... 8.56 g/cm3
data_La2NdSn2Hg2
_chemical_formula_sum 'La6 Nd3 Sn6 Hg6'
_symmetry_space_group_name_H-M 'R -3 m'
_symmetry_Int_Tables_number 166
_symmetry_space_group_name_Hall '-R 3 2"'
_cell_length_a 5.0228
_cell_length_b 5.0228
_cell_length_c 28.2550
_cell_angle_alpha 90.00
_cell_angle_beta 90.00
_cell_angle_gamma 120.00
loop_
_atom_site_label
_atom_site_type_symbol
_atom_site_fract_x
_atom_site_fract_y
_atom_site_fract_z
La1 La 0.0000 0.0000 0.1319
Nd1 Nd 0.0000 0.0000 0.0000
Sn1 Sn 0.0000 0.0000 0.2724
Hg1 Hg 0.0000 0.0000 0.4244



7.
# La2TbNd2Hg5 (PBE, relaxed)
# ΔE_f ... -0.332 eV/atom
# Calculated density ... 9.95 g/cm3
data_La2TbNd2Hg5
_chemical_formula_sum 'La4 Tb2 Nd4 Hg10'
_symmetry_space_group_name_H-M 'P 4/m b m'
_symmetry_Int_Tables_number 127
_symmetry_space_group_name_Hall '-P 4 2ab'
_cell_length_a 11.177
_cell_length_b 11.177
_cell_length_c 4.615
_cell_angle_alpha 90.00
_cell_angle_beta 90.00
_cell_angle_gamma 90.00
loop_
_atom_site_label
_atom_site_type_symbol
_atom_site_fract_x
_atom_site_fract_y
_atom_site_fract_z
La1 La 0.175 0.325 0.000
Tb1 Tb 0.000 0.000 0.000
Nd1 Nd 0.129 0.629 0.000
Hg1 Hg 0.000 0.500 0.500
Hg2 Hg 0.084 0.819 0.500



8.
# LaTb2NdHg4 (PBE, relaxed)
# ΔE_f ... -0.472 eV/atom
# Calculated density ... 10.53 g/cm3
data_LaTb2NdHg4
_chemical_formula_sum 'La3 Tb6 Nd3 Hg12'
_symmetry_space_group_name_H-M 'R -3 m'
_symmetry_Int_Tables_number 166
_symmetry_space_group_name_Hall '-R 3 2"'
_cell_length_a 5.3874
_cell_length_b 5.3874
_cell_length_c 26.4039
_cell_angle_alpha 90.00
_cell_angle_beta 90.00
_cell_angle_gamma 120.00
loop_
_atom_site_label
_atom_site_type_symbol
_atom_site_fract_x
_atom_site_fract_y
_atom_site_fract_z
La1 La 0.0000 0.0000 0.0000
Tb1 Tb 0.0000 0.0000 0.2495
Nd1 Nd 0.0000 0.0000 0.5000
Hg1 Hg 0.0000 0.0000 0.1260
Hg2 Hg 0.0000 0.0000 0.3763



9.
# LaNdThHg (PBE, relaxed)
# ΔE_f ... 0.023 eV/atom
# Calculated density ... 9.62 g/cm3
data_LaNdThHg
_chemical_formula_sum 'La4 Nd4 Th4 Hg4'
_symmetry_space_group_name_H-M 'F -4 3 m'
_symmetry_Int_Tables_number 216
_symmetry_space_group_name_Hall 'F -4 2 3'
_cell_length_a 7.907
_cell_length_b 7.907
_cell_length_c 7.907
_cell_angle_alpha 90.00
_cell_angle_beta 90.00
_cell_angle_gamma 90.00
loop_
_atom_site_label
_atom_site_type_symbol
_atom_site_fract_x
_atom_site_fract_y
_atom_site_fract_z
La1 La 0.000 0.000 0.000
Nd1 Nd 0.000 0.000 0.500
Th1 Th 0.250 0.250 0.250
Hg1 Hg 0.250 0.250 0.750



10.
# LaNdTlHg (PBE, relaxed)
# ΔE_f ... -0.444 eV/atom
# Calculated density ... 9.51 g/cm3
data_LaNdTlHg
_chemical_formula_sum 'La4 Nd4 Tl4 Hg4'
_symmetry_space_group_name_H-M 'F -4 3 m'
_symmetry_Int_Tables_number 216
_symmetry_space_group_name_Hall 'F -4 2 3'
_cell_length_a 7.834
_cell_length_b 7.834
_cell_length_c 7.834
_cell_angle_alpha 90.00
_cell_angle_beta 90.00
_cell_angle_gamma 90.00
loop_
_atom_site_label
_atom_site_type_symbol
_atom_site_fract_x
_atom_site_fract_y
_atom_site_fract_z
La1 La 0.000 0.000 0.000
Nd1 Nd 0.000 0.000 0.500
Tl1 Tl 0.250 0.250 0.250
Hg1 Hg 0.250 0.250 0.750



11.
# LaNd2Tl2Hg2 (PBE, relaxed)
# ΔE_f ... -0.268 eV/atom
# Calculated density ... 9.98 g/cm3
data_LaNd2Tl2Hg2
_chemical_formula_sum 'La3 Nd6 Tl6 Hg6'
_symmetry_space_group_name_H-M 'R -3 m'
_symmetry_Int_Tables_number 166
_symmetry_space_group_name_Hall '-R 3 2"'
_cell_length_a 5.0763
_cell_length_b 5.0763
_cell_length_c 27.6786
_cell_angle_alpha 90.00
_cell_angle_beta 90.00
_cell_angle_gamma 120.00
loop_
_atom_site_label
_atom_site_type_symbol
_atom_site_fract_x
_atom_site_fract_y
_atom_site_fract_z
La1 La 0.0000 0.0000 0.0000
Nd1 Nd 0.0000 0.0000 0.1344
Tl1 Tl 0.0000 0.0000 0.2710
Hg1 Hg 0.0000 0.0000 0.4324



12.
# LaNd2TlHg4 (PBE, relaxed)
# ΔE_f ... -0.409 eV/atom
# Calculated density ... 10.54 g/cm3
data_LaNd2TlHg4
_chemical_formula_sum 'La3 Nd6 Tl3 Hg12'
_symmetry_space_group_name_H-M 'R -3 m'
_symmetry_Int_Tables_number 166
_symmetry_space_group_name_Hall '-R 3 2"'
_cell_length_a 5.3209
_cell_length_b 5.3209
_cell_length_c 27.6576
_cell_angle_alpha 90.00
_cell_angle_beta 90.00
_cell_angle_gamma 120.00
loop_
_atom_site_label
_atom_site_type_symbol
_atom_site_fract_x
_atom_site_fract_y
_atom_site_fract_z
La1 La 0.0000 0.0000 0.0000
Nd1 Nd 0.0000 0.0000 0.2384
Tl1 Tl 0.0000 0.0000 0.5000
Hg1 Hg 0.0000 0.0000 0.1197
Hg2 Hg 0.0000 0.0000 0.3718